1.
## Ti2Mo2Br (GGA-PBEsol)

Data for a geometry-optimized Ti2Mo2Br structure.

Cell: 7.818 7.818 7.818 Å, 154.10 154.10 36.95°
Positions (direct):
Ti (0.104, 0.104, 0.000)
Ti (0.896, 0.896, 0.000)
Mo (0.250, 0.750, 0.500)
Mo (0.750, 0.250, 0.500)
Br (0.500, 0.500, 0.000)

## Properties
Symmetry: I4/mmm, No. 139
Raw formation energy (eV/atom): 0.3687
Total moment (μB/atom): 0.03
V (Å³/atom): 18.2

***

2.
## SrLi2Ti (GGA-PBEsol)

Data for a geometry-optimized SrLi2Ti structure.

Cell: 5.228 5.228 5.228 Å, 60.00 60.00 60.00°
Positions (direct):
Sr (0.000, 0.000, 0.000)
Li (0.250, 0.250, 0.250)
Li (0.750, 0.750, 0.750)
Ti (0.500, 0.500, 0.500)

## Properties
ΔH_f (0 K) (eV per atom): 0.546
Symmetry: Fm-3m, No. 225
Total moment (μB/atom): 0.72
V (Å³/atom): 25.3

***

3.
## Ba2CdSb (GGA-PBEsol)

Data for a geometry-optimized Ba2CdSb structure.

Cell: 5.864 5.864 5.864 Å, 119.88 119.88 90.20°
Positions (direct):
Ba (0.250, 0.750, 0.500)
Ba (0.750, 0.250, 0.500)
Cd (0.000, 0.000, 0.000)
Sb (0.500, 0.500, 0.000)

## Properties
Symmetry: I4/mmm, No. 139
Raw formation energy (eV/atom): -0.6580
Total moment (μB/atom): 0.00
V (Å³/atom): 35.7

***

4.
## BaSiSe4 (GGA-PBEsol)

Data for a geometry-optimized BaSiSe4 structure.

Cell: 5.832 5.832 5.832 Å, 60.00 60.00 60.00°
Positions (direct):
Ba (0.000, 0.000, 0.000)
Si (0.750, 0.750, 0.750)
Se (0.376, 0.376, 0.376)
Se (0.376, 0.376, 0.871)
Se (0.376, 0.871, 0.376)
Se (0.871, 0.376, 0.376)

## Properties
Symmetry: F-43m, No. 216
Raw formation energy (eV/atom): -0.0179
Total moment (μB/atom): 0.14
V (Å³/atom): 23.4